(1)
{
  "formula": "AgHgIr2",
  "functional": "PBE-GGA",
  "state": "optimized geometry",
  "lattice": [[2.830, 0.000, 0.000], [0.000, 2.830, 0.000], [0.000, 0.000, 8.403]],
  "species": ["Ag", "Hg", "Ir", "Ir"],
  "fractional_positions": [[0.000, 0.000, 0.000], [0.000, 0.000, 0.500], [0.500, 0.500, 0.244], [0.500, 0.500, 0.756]],
  "space_group": "P4/mmm, No. 123",
  "volume_a3_per_atom": 16.83,
  "e_form_mev_per_atom": 661
}

(2)
{
  "formula": "Ac3Sb4Rh2",
  "functional": "PBE-GGA",
  "state": "optimized geometry",
  "lattice": [[5.931, -2.401, 0.000], [5.931, 2.401, 0.000], [-2.729, 0.000, 9.003]],
  "species": ["Ac", "Ac", "Ac", "Sb", "Sb", "Sb", "Sb", "Rh", "Rh"],
  "fractional_positions": [[0.000, 0.000, 0.000], [0.373, 0.373, 0.301], [0.627, 0.627, 0.699], [0.094, 0.094, 0.394], [0.297, 0.297, 0.892], [0.703, 0.703, 0.108], [0.906, 0.906, 0.606], [0.306, 0.306, 0.598], [0.694, 0.694, 0.402]],
  "raw_formation_energy_ev_per_atom": -0.892,
  "space_group": "C2/m, No. 12",
  "volume_a3_per_atom": 28.49
}

(3)
{
  "formula": "PmHo3",
  "functional": "PBE-GGA",
  "state": "optimized geometry",
  "lattice": [[-2.514, 2.514, 5.027], [2.514, -2.514, 5.027], [2.514, 2.514, -5.027]],
  "species": ["Pm", "Ho", "Ho", "Ho"],
  "fractional_positions": [[0.000, 0.000, 0.000], [0.250, 0.750, 0.500], [0.500, 0.500, 0.000], [0.750, 0.250, 0.500]],
  "space_group": "I4/mmm, No. 139",
  "de_polymorph_mev_per_atom": 8,
  "volume_a3_per_atom": 31.76,
  "e_form_mev_per_atom": 19
}

Please write out number 3 again, unchanged.
{
  "formula": "PmHo3",
  "functional": "PBE-GGA",
  "state": "optimized geometry",
  "lattice": [[-2.514, 2.514, 5.027], [2.514, -2.514, 5.027], [2.514, 2.514, -5.027]],
  "species": ["Pm", "Ho", "Ho", "Ho"],
  "fractional_positions": [[0.000, 0.000, 0.000], [0.250, 0.750, 0.500], [0.500, 0.500, 0.000], [0.750, 0.250, 0.500]],
  "space_group": "I4/mmm, No. 139",
  "de_polymorph_mev_per_atom": 8,
  "volume_a3_per_atom": 31.76,
  "e_form_mev_per_atom": 19
}

Repeat the second record exactly.
{
  "formula": "Ac3Sb4Rh2",
  "functional": "PBE-GGA",
  "state": "optimized geometry",
  "lattice": [[5.931, -2.401, 0.000], [5.931, 2.401, 0.000], [-2.729, 0.000, 9.003]],
  "species": ["Ac", "Ac", "Ac", "Sb", "Sb", "Sb", "Sb", "Rh", "Rh"],
  "fractional_positions": [[0.000, 0.000, 0.000], [0.373, 0.373, 0.301], [0.627, 0.627, 0.699], [0.094, 0.094, 0.394], [0.297, 0.297, 0.892], [0.703, 0.703, 0.108], [0.906, 0.906, 0.606], [0.306, 0.306, 0.598], [0.694, 0.694, 0.402]],
  "raw_formation_energy_ev_per_atom": -0.892,
  "space_group": "C2/m, No. 12",
  "volume_a3_per_atom": 28.49
}